{
  "formula": "CoMoPb2",
  "functional": "GGA-PBE",
  "state": "relaxed",
  "lattice": [[-2.0193, 2.0193, 4.8033], [2.0193, -2.0193, 4.8033], [2.0193, 2.0193, -4.8033]],
  "species": ["Co", "Mo", "Pb", "Pb"],
  "frac_coords": [[0.0000, 0.0000, 0.0000], [0.2500, 0.7500, 0.5000], [0.5000, 0.5000, 0.0000], [0.7500, 0.2500, 0.5000]],
  "space_group": "I-4m2 (119)",
  "rho_g_cm3": 12.07,
  "final_energy_ha_per_atom": -0.203,
  "vol_a3_per_cell": 78.3,
  "e_form_ev_per_fu": 3.281,
  "polymorph_energy_mev_per_atom": 459
}